1.
Li2In4Pb: optimized geometry, GGA-PBE.

a b c (Å): 11.1733 11.1733 11.1733
angles (deg): 158.28 158.28 30.91
With the nearest neighbours (Å) after each atom.
Sites, in units of the cell vectors:
1 Li 0.0802 0.0802 0.0000  4 In 3.28, 4 Pb 3.44, 1 Li 3.45
2 Li 0.9198 0.9198 0.0000  4 In 3.28, 4 Pb 3.44, 1 Li 3.45
3 In 0.2500 0.7500 0.5000  8 In 2.98-3.10
4 In 0.3558 0.3558 0.0000  4 In 3.10, 1 Pb 3.11, 4 Li 3.28
5 In 0.6442 0.6442 0.0000  4 In 3.10, 1 Pb 3.11, 4 Li 3.28
6 In 0.7500 0.2500 0.5000  8 In 2.98-3.10
7 Pb 0.5000 0.5000 0.0000  2 In 3.11, 8 Li 3.44

Computed properties:
magnetic moment = 0.00 μB per formula unit
energy of formation = -0.1 kJ per mole of atoms
calculated volume = 27.27 Å³/atom

***

2.
Zr2TeRh2: optimized geometry, GGA-PBE.

a b c (Å): 7.4757 7.4757 3.4753
angles (deg): 90.00 90.00 90.00
With the nearest neighbours (Å) after each atom.
Sites, in units of the cell vectors:
1 Zr 0.1647 0.3353 0.0000  6 Rh 2.78-2.82
2 Zr 0.3353 0.8353 0.0000  6 Rh 2.78-2.82
3 Zr 0.6647 0.1647 0.0000  6 Rh 2.78-2.82
4 Zr 0.8353 0.6647 0.0000  6 Rh 2.78-2.82
5 Te 0.0000 0.0000 0.5000  4 Rh 2.93
6 Te 0.5000 0.5000 0.5000  4 Rh 2.93
7 Rh 0.1303 0.6303 0.5000  1 Rh 2.76, 6 Zr 2.78-2.82, 2 Te 2.93
8 Rh 0.3697 0.1303 0.5000  1 Rh 2.76, 6 Zr 2.78-2.82, 2 Te 2.93
9 Rh 0.6303 0.8697 0.5000  1 Rh 2.76, 6 Zr 2.78-2.82, 2 Te 2.93
10 Rh 0.8697 0.3697 0.5000  1 Rh 2.76, 6 Zr 2.78-2.82, 2 Te 2.93

Computed properties:
magnetic moment = 0.00 μB per formula unit
DFT total energy = -7.668 eV/atom
calculated volume = 19.42 Å³/atom

***

3.
AcNdNpO6: optimized geometry, GGA-PBE.

a b c (Å): 5.9883 5.9883 10.0971
angles (deg): 90.00 90.00 120.00
With the nearest neighbours (Å) after each atom.
Sites, in units of the cell vectors:
1 Ac 0.0000 0.0000 0.0000  6 O 2.57
2 Ac 0.0000 0.0000 0.5000  6 O 2.57
3 Nd 0.3333 0.6667 0.2500  6 O 2.38
4 Nd 0.6667 0.3333 0.7500  6 O 2.38
5 Np 0.3333 0.6667 0.7500  6 O 2.08
6 Np 0.6667 0.3333 0.2500  6 O 2.08
7 O 0.0367 0.3756 0.6393  1 Np 2.08
8 O 0.0367 0.6611 0.8607  1 Np 2.08
9 O 0.3389 0.3756 0.8607  1 Np 2.08
10 O 0.3389 0.9633 0.6393  1 Np 2.08
11 O 0.3756 0.0367 0.1393  1 Np 2.08
12 O 0.3756 0.3389 0.3607  1 Np 2.08
13 O 0.6244 0.6611 0.6393  1 Np 2.08
14 O 0.6244 0.9633 0.8607  1 Np 2.08
15 O 0.6611 0.0367 0.3607  1 Np 2.08
16 O 0.6611 0.6244 0.1393  1 Np 2.08
17 O 0.9633 0.3389 0.1393  1 Np 2.08
18 O 0.9633 0.6244 0.3607  1 Np 2.08

Computed properties:
magnetic moment = 1.00 μB per formula unit
DFT total energy = -8.902 eV/atom
calculated volume = 17.42 Å³/atom

***

4.
La2Pr2Dy2In: optimized geometry, GGA-PBE.

a b c (Å): 8.7292 8.7292 8.4529
angles (deg): 114.25 114.25 23.31
With the nearest neighbours (Å) after each atom.
Sites, in units of the cell vectors:
1 La 0.2311 0.2311 0.3051  3 Dy 3.35-3.49, 3 Pr 3.38-3.61, 4 La 3.53-3.55, 1 In 3.70
2 La 0.7689 0.7689 0.6949  3 Dy 3.35-3.49, 3 Pr 3.38-3.61, 4 La 3.53-3.55, 1 In 3.70
3 Pr 0.4347 0.4347 0.6208  3 La 3.38-3.61, 1 Dy 3.39, 2 In 3.41, 3 Pr 3.53-3.60
4 Pr 0.5653 0.5653 0.3792  3 La 3.38-3.61, 1 Dy 3.39, 2 In 3.41, 3 Pr 3.53-3.60
5 Dy 0.3557 0.3557 0.0879  3 La 3.35-3.49, 2 In 3.36, 1 Pr 3.39, 4 Dy 3.53-3.73
6 Dy 0.6443 0.6443 0.9121  3 La 3.35-3.49, 2 In 3.36, 1 Pr 3.39, 4 Dy 3.53-3.73
7 In 0.0000 0.0000 0.0000  4 Dy 3.36, 4 Pr 3.41, 2 In 3.53, 2 La 3.70

Computed properties:
magnetic moment = 0.00 μB per formula unit
energy of formation = 0.7 kJ per mole of atoms
calculated volume = 33.05 Å³/atom

***

5.
LiCu: optimized geometry, GGA-PBE.

a b c (Å): 6.7118 6.7118 6.7118
angles (deg): 109.47 109.47 109.47
With the nearest neighbours (Å) after each atom.
Sites, in units of the cell vectors:
1 Li 0.0000 0.0000 0.5940  4 Cu 2.51-2.63
2 Li 0.0000 0.5940 0.0000  4 Cu 2.51-2.63
3 Li 0.4060 0.4060 0.4060  4 Cu 2.51-2.63
4 Li 0.5940 0.0000 0.0000  4 Cu 2.51-2.63
5 Cu 0.0000 0.0000 0.2202  3 Cu 2.41, 4 Li 2.51-2.63
6 Cu 0.0000 0.2202 0.0000  3 Cu 2.41, 4 Li 2.51-2.63
7 Cu 0.2202 0.0000 0.0000  3 Cu 2.41, 4 Li 2.51-2.63
8 Cu 0.7798 0.7798 0.7798  3 Cu 2.41, 4 Li 2.51-2.63

Computed properties:
magnetic moment = 0.00 μB per formula unit
energy of formation = 42.1 kJ per mole of atoms
calculated volume = 29.09 Å³/atom

***

6.
Tb7AuSe5: optimized geometry, GGA-PBE.

a b c (Å): 6.9939 6.9939 24.4872
angles (deg): 90.02 90.02 33.61
With the nearest neighbours (Å) after each atom.
Sites, in units of the cell vectors:
1 Tb 0.0357 0.0357 0.2499  2 Se 2.86, 2 Au 2.97
2 Tb 0.1382 0.1382 0.5374  6 Se 2.84-2.89
3 Tb 0.1381 0.1381 0.9625  6 Se 2.84-2.89
4 Tb 0.3053 0.3053 0.1788  3 Se 2.86-2.91, 2 Au 3.03
5 Tb 0.3050 0.3050 0.3212  3 Se 2.86-2.91, 2 Au 3.03
6 Tb 0.4119 0.4119 0.6117  5 Se 2.87-2.98
7 Tb 0.4116 0.4116 0.8882  5 Se 2.87-2.98
8 Tb 0.5884 0.5884 0.1118  5 Se 2.87-2.98
9 Tb 0.5881 0.5881 0.3883  5 Se 2.87-2.98
10 Tb 0.6950 0.6950 0.6788  3 Se 2.86-2.91, 2 Au 3.03
11 Tb 0.6947 0.6947 0.8212  3 Se 2.86-2.91, 2 Au 3.03
12 Tb 0.8619 0.8619 0.0375  6 Se 2.84-2.89
13 Tb 0.8618 0.8618 0.4626  6 Se 2.84-2.89
14 Tb 0.9643 0.9643 0.7501  2 Se 2.86, 2 Au 2.97
15 Au 0.3014 0.3014 0.7501  6 Tb 2.97-3.03
16 Au 0.6986 0.6986 0.2499  6 Tb 2.97-3.03
17 Se 0.0525 0.0525 0.6435  6 Tb 2.84-2.91
18 Se 0.0522 0.0522 0.8565  6 Tb 2.84-2.91
19 Se 0.2231 0.2231 0.0711  6 Tb 2.86-2.89
20 Se 0.2230 0.2230 0.4289  6 Tb 2.86-2.89
21 Se 0.5000 0.5000 0.0000  6 Tb 2.89-2.98
22 Se 0.5000 0.5000 0.5000  6 Tb 2.89-2.98
23 Se 0.7770 0.7770 0.5711  6 Tb 2.86-2.89
24 Se 0.7769 0.7769 0.9289  6 Tb 2.86-2.89
25 Se 0.9478 0.9478 0.1435  6 Tb 2.84-2.91
26 Se 0.9475 0.9475 0.3565  6 Tb 2.84-2.91

Computed properties:
magnetic moment = 0.00 μB per formula unit
DFT total energy = -5.590 eV/atom
calculated volume = 25.50 Å³/atom

***

7.
AlHgRu3: optimized geometry, GGA-PBE.

a b c (Å): 4.9197 4.9197 4.9197
angles (deg): 90.00 90.00 90.00
With the nearest neighbours (Å) after each atom.
Sites, in units of the cell vectors:
1 Al 0.0000 0.0000 0.0000  12 Ru 3.48
2 Hg 0.5000 0.5000 0.5000  6 Ru 2.46
3 Ru 0.0000 0.5000 0.5000  2 Hg 2.46
4 Ru 0.5000 0.0000 0.5000  2 Hg 2.46
5 Ru 0.5000 0.5000 0.0000  2 Hg 2.46

Computed properties:
magnetic moment = 4.78 μB per formula unit
energy of formation = 214.9 kJ per mole of atoms
calculated volume = 23.81 Å³/atom

***

8.
YEr2AuC: optimized geometry, GGA-PBE.

a b c (Å): 4.7867 4.7867 4.8920
angles (deg): 90.00 90.00 90.00
With the nearest neighbours (Å) after each atom.
Sites, in units of the cell vectors:
1 Y 0.0000 0.0000 0.0000  2 C 2.43-2.46
2 Er 0.0000 0.5000 0.4992  2 C 2.39
3 Er 0.5000 0.0000 0.4992  2 C 2.39
4 Au 0.5000 0.5000 0.0072  4 Y 3.38, 8 Er 3.39-3.45
5 C 0.0000 0.0000 0.5032  4 Er 2.39, 2 Y 2.43-2.46

Computed properties:
magnetic moment = 0.78 μB per formula unit
energy of formation = -42.9 kJ per mole of atoms
calculated volume = 22.42 Å³/atom

***

- Among the records above, which one has the highest calculated volume?
  La2Pr2Dy2In